(1)
SrCr2In (PBE, relaxed); magnetization = 0.0 μB/f.u.; formation enthalpy at 0 K = 0.457 eV/atom; E = -5.460 eV per atom
1.0
4.363 0.000 0.000
0.000 5.338 0.000
0.000 0.000 8.212
Sr Cr In
2 4 2
direct
0.000 0.000 0.000 Sr
0.500 0.500 0.500 Sr
0.000 0.000 0.555 Cr
0.000 0.500 0.212 Cr
0.500 0.000 0.712 Cr
0.500 0.500 0.055 Cr
0.000 0.500 0.793 In
0.500 0.000 0.293 In

***

(2)
SrCrIn2 (PBE, relaxed); magnetization = 4.0 μB/f.u.; formation enthalpy at 0 K = 0.255 eV/atom; E = -3.940 eV per atom
1.0
3.700 0.000 0.000
-1.850 3.205 0.000
0.000 0.000 28.355
Sr Cr In
3 3 6
direct
0.000 0.000 0.000 Sr
0.333 0.667 0.667 Sr
0.667 0.333 0.333 Sr
0.000 0.000 0.500 Cr
0.333 0.667 0.167 Cr
0.667 0.333 0.833 Cr
0.000 0.000 0.236 In
0.000 0.000 0.764 In
0.333 0.667 0.430 In
0.333 0.667 0.903 In
0.667 0.333 0.097 In
0.667 0.333 0.570 In

***

(3)
Sr2CrIn (PBE, relaxed); magnetization = 4.5 μB/f.u.; formation enthalpy at 0 K = 0.168 eV/atom; E = -3.764 eV per atom
1.0
5.731 0.000 0.000
0.000 5.731 0.000
0.000 0.000 3.985
Sr Cr In
2 1 1
direct
0.000 0.500 0.000 Sr
0.500 0.000 0.000 Sr
0.000 0.000 0.500 Cr
0.500 0.500 0.500 In

***

(4)
SrCrIn2 (PBE, relaxed); magnetization = 5.0 μB/f.u.; formation enthalpy at 0 K = 0.178 eV/atom; E = -4.018 eV per atom
1.0
5.297 0.000 0.000
0.000 5.297 0.000
0.000 0.000 7.550
Sr Cr In
2 2 4
direct
0.000 0.000 0.000 Sr
0.500 0.500 0.500 Sr
0.000 0.500 0.750 Cr
0.500 0.000 0.250 Cr
0.000 0.000 0.500 In
0.000 0.500 0.250 In
0.500 0.000 0.750 In
0.500 0.500 0.000 In

***

(5)
SrCrIn2 (PBE, relaxed); magnetization = 3.8 μB/f.u.; formation enthalpy at 0 K = 0.156 eV/atom; E = -4.039 eV per atom
1.0
4.659 0.000 0.000
0.000 4.659 0.000
0.000 0.000 4.848
Sr Cr In
1 1 2
direct
0.000 0.000 0.000 Sr
0.500 0.500 0.000 Cr
0.000 0.500 0.500 In
0.500 0.000 0.500 In

***

(6)
SrCrIn (PBE, relaxed); magnetization = 3.8 μB/f.u.; formation enthalpy at 0 K = 0.411 eV/atom; E = -4.270 eV per atom
1.0
7.136 0.000 0.000
0.000 7.136 0.000
0.000 0.000 7.136
Sr Cr In
4 4 4
direct
0.000 0.000 0.000 Sr
0.000 0.500 0.500 Sr
0.500 0.000 0.500 Sr
0.500 0.500 0.000 Sr
0.250 0.250 0.750 Cr
0.250 0.750 0.250 Cr
0.750 0.250 0.250 Cr
0.750 0.750 0.750 Cr
0.000 0.000 0.500 In
0.000 0.500 0.000 In
0.500 0.000 0.000 In
0.500 0.500 0.500 In